1.
DFT (GGA-PBE) results for an optimized crystal structure of DyMg2Ga2Au2.

Lattice parameters (Å, degrees): 4.5294 4.5294 23.8660 90.00 90.00 120.00
With the nearest neighbours (Å) after each atom.
Space group R-3m (No. 166, hexagonal axes)
Symmetry-distinct sites (fractional):
Dy  0.0000  0.0000  0.0000 [3 per cell]  6 Ga 3.07, 2 Mg 3.19, 6 Au 3.26
Mg  0.0000  0.0000  0.1336 [6 per cell]  4 Au 2.83-2.90, 3 Mg 3.05, 3 Ga 3.06
Ga  0.0000  0.0000  0.4007 [6 per cell]  3 Au 2.64
Au  0.0000  0.0000  0.2520 [6 per cell]  3 Ga 2.64, 4 Mg 2.83-2.90

2.
DFT (GGA-PBE) results for an optimized crystal structure of PmTmPu2.

Computed properties:
Offset from the most stable computed form ... 0.00 eV/f.u.

Lattice parameters (Å, degrees): 3.4181 3.4181 10.1171 90.00 90.00 90.00
With the nearest neighbours (Å) after each atom.
Space group P4/mmm (No. 123)
Symmetry-distinct sites (fractional):
Pm  0.0000  0.0000  0.0000 [1 per cell]  4 Pm 3.42, 8 Pu 3.54
Tm  0.0000  0.0000  0.5000 [1 per cell]  4 Tm 3.42, 8 Pu 3.45
Pu  0.5000  0.5000  0.2561 [2 per cell]  4 Pu 3.42, 4 Tm 3.45, 4 Pm 3.54

| no. | total DFT energy (no corrections) (hartree per atom) |
| --- | --- |
| 1 | -0.128 |
| 2 | -0.341 |